A plane-wave DFT calculation with PBE was carried out for an optimized crystal structure of Mg2ScIr.

The formation energy is -142 meV per atom. The density of states at the Fermi level comes out at 0.3069 states/eV/atom.

POSCAR file:
```
Mg2ScIr
1.0
2.749 -4.375 0.000
2.749 4.375 0.000
0.000 0.000 3.060
Mg Sc Ir
2 1 1
Direct
0.000 0.500 0.000
0.500 0.000 0.000
0.000 0.000 0.500
0.500 0.500 0.500
```

A plane-wave DFT calculation with PBE was carried out for an optimized crystal structure of MgSc8Ir2.

The formation energy is -412 meV per atom. The density of states at the Fermi level comes out at 1.3196 states/eV/atom.

POSCAR file:
```
MgSc8Ir2
1.0
8.273 -2.290 0.000
8.273 2.290 0.000
-2.326 0.000 6.405
Mg Sc Ir
1 8 2
Direct
0.000 0.000 0.000
0.099 0.099 0.482
0.176 0.176 0.954
0.303 0.303 0.694
0.462 0.462 0.242
0.538 0.538 0.758
0.697 0.697 0.306
0.824 0.824 0.046
0.901 0.901 0.518
0.311 0.311 0.308
0.689 0.689 0.692
```

A plane-wave DFT calculation with PBE was carried out for an optimized crystal structure of MgScIr.

The formation energy is -525 meV per atom. The density of states at the Fermi level comes out at 0.2889 states/eV/atom.

POSCAR file:
```
MgScIr
1.0
0.000 3.148 3.148
3.148 0.000 3.148
3.148 3.148 0.000
Mg Sc Ir
1 1 1
Direct
0.000 0.000 0.000
0.500 0.500 0.500
0.750 0.750 0.750
```

A plane-wave DFT calculation with PBE was carried out for an optimized crystal structure of MgSc2Ir.

The formation energy is -465 meV per atom. The density of states at the Fermi level comes out at 0.7651 states/eV/atom.

POSCAR file:
```
MgSc2Ir
1.0
-1.642 2.371 5.120
1.642 -2.371 5.120
1.642 2.371 -5.120
Mg Sc Ir
1 2 1
Direct
0.000 0.000 0.000
0.291 0.791 0.500
0.584 0.584 0.000
0.786 0.286 0.500
```

A plane-wave DFT calculation with PBE was carried out for an optimized crystal structure of Mg2ScIr.

The formation energy is -180 meV per atom. The density of states at the Fermi level comes out at 0.5693 states/eV/atom.

POSCAR file:
```
Mg2ScIr
1.0
2.743 -4.975 0.000
2.743 4.975 0.000
-1.384 0.000 2.712
Mg Sc Ir
2 1 1
Direct
0.000 0.500 0.000
0.500 0.000 0.000
0.000 0.000 0.500
0.500 0.500 0.500
```

A plane-wave DFT calculation with PBE was carried out for an optimized crystal structure of Mg2ScIr.

The formation energy is -405 meV per atom. The density of states at the Fermi level comes out at 1.0993 states/eV/atom.

POSCAR file:
```
Mg2ScIr
1.0
0.000 3.303 3.303
3.303 0.000 3.303
3.303 3.303 0.000
Mg Sc Ir
2 1 1
Direct
0.000 0.000 0.000
0.250 0.250 0.250
0.500 0.500 0.500
0.750 0.750 0.750
```

A plane-wave DFT calculation with PBE was carried out for an optimized crystal structure of MgSc2Si2Ir5.

The value obtained for the uncorrected formation energy is -0.8355 eV/atom. The density of states at the Fermi level comes out at 0.3283 states/eV/atom.

POSCAR file:
```
MgSc2Si2Ir5
1.0
9.558 0.000 0.000
0.000 9.558 0.000
0.000 0.000 3.429
Mg Sc Si Ir
2 4 4 10
Direct
0.000 0.000 0.000
0.500 0.500 0.000
0.173 0.327 0.000
0.327 0.827 0.000
0.673 0.173 0.000
0.827 0.673 0.000
0.128 0.628 0.000
0.372 0.128 0.000
0.628 0.872 0.000
0.872 0.372 0.000
0.000 0.500 0.500
0.070 0.790 0.500
0.210 0.070 0.500
0.290 0.570 0.500
0.430 0.290 0.500
0.500 0.000 0.500
0.570 0.710 0.500
0.710 0.430 0.500
0.790 0.930 0.500
0.930 0.210 0.500
```

A plane-wave DFT calculation with PBE was carried out for an optimized crystal structure of SmMgScIr.

The formation energy is -407 meV per atom. The density of states at the Fermi level comes out at 0.6740 states/eV/atom.

POSCAR file:
```
SmMgScIr
1.0
0.000 3.495 3.495
3.495 0.000 3.495
3.495 3.495 0.000
Sm Mg Sc Ir
1 1 1 1
Direct
0.000 0.000 0.000
0.250 0.250 0.250
0.500 0.500 0.500
0.750 0.750 0.750
```

A plane-wave DFT calculation with PBE was carried out for an optimized crystal structure of SrMg2ScIr.

The formation energy is -267 meV per atom. The density of states at the Fermi level comes out at 0.7072 states/eV/atom.

POSCAR file:
```
SrMg2ScIr
1.0
5.201 0.000 0.000
0.000 5.201 0.000
0.000 0.000 4.980
Sr Mg Sc Ir
1 2 1 1
Direct
0.000 0.000 0.000
0.000 0.500 0.500
0.500 0.000 0.500
0.500 0.500 0.000
0.500 0.500 0.500
```

A plane-wave DFT calculation with PBE was carried out for an optimized crystal structure of TbMgScIr.

The formation energy is -466 meV per atom. The density of states at the Fermi level comes out at 0.6175 states/eV/atom.

POSCAR file:
```
TbMgScIr
1.0
0.000 3.462 3.462
3.462 0.000 3.462
3.462 3.462 0.000
Tb Mg Sc Ir
1 1 1 1
Direct
0.000 0.000 0.000
0.250 0.250 0.250
0.500 0.500 0.500
0.750 0.750 0.750
```

A plane-wave DFT calculation with PBE was carried out for an optimized crystal structure of TmMgSc2Ir4.

The formation energy is -831 meV per atom. The density of states at the Fermi level comes out at 0.3042 states/eV/atom.

POSCAR file:
```
TmMgSc2Ir4
1.0
2.293 1.324 7.491
-2.293 1.324 7.491
0.000 -2.648 7.491
Tm Mg Sc Ir
1 1 2 4
Direct
0.000 0.000 0.000
0.500 0.500 0.500
0.246 0.246 0.246
0.754 0.754 0.754
0.126 0.126 0.126
0.377 0.377 0.377
0.623 0.623 0.623
0.874 0.874 0.874
```

A plane-wave DFT calculation with PBE was carried out for an optimized crystal structure of MgScZnIr.

The formation energy is -507 meV per atom. The density of states at the Fermi level comes out at 0.8293 states/eV/atom.

POSCAR file:
```
MgScZnIr
1.0
0.000 3.229 3.229
3.229 0.000 3.229
3.229 3.229 0.000
Mg Sc Zn Ir
1 1 1 1
Direct
0.000 0.000 0.000
0.500 0.500 0.500
0.750 0.750 0.750
0.250 0.250 0.250
```

A plane-wave DFT calculation with PBE was carried out for an optimized crystal structure of MgZr2ScIr.

The formation energy is 118 meV per atom. The density of states at the Fermi level comes out at 1.3834 states/eV/atom.

POSCAR file:
```
MgZr2ScIr
1.0
5.056 0.000 0.000
0.000 5.056 0.000
0.000 0.000 5.004
Mg Zr Sc Ir
1 2 1 1
Direct
0.000 0.000 0.000
0.000 0.500 0.500
0.500 0.000 0.500
0.500 0.500 0.000
0.000 0.000 0.500
```

A plane-wave DFT calculation with PBE was carried out for an optimized crystal structure of Mg4IrSe.

The value obtained for the uncorrected formation energy is 0.2209 eV/atom. The density of states at the Fermi level comes out at 0.7118 states/eV/atom.

POSCAR file:
```
Mg4IrSe
1.0
0.000 3.862 3.862
3.862 0.000 3.862
3.862 3.862 0.000
Mg Ir Se
4 1 1
Direct
0.376 0.376 0.376
0.376 0.376 0.873
0.376 0.873 0.376
0.873 0.376 0.376
0.750 0.750 0.750
0.000 0.000 0.000
```